# 1
Ac2TlZn4Pd3 | PBE-GGA | optimized geometry

DOS(E_F) = 0.64 states/eV/atom
energy relative to the elements = -0.52 eV per atom

Cell: 4.346 4.346 11.515 Å, 90.00 90.00 90.00°
Atoms (fractional coordinates):
Ac1 0.000 0.500 0.235
Ac2 0.500 0.000 0.765
Tl1 0.000 0.000 0.500
Zn1 0.000 0.000 0.000
Zn2 0.000 0.500 0.646
Zn3 0.500 0.000 0.354
Zn4 0.500 0.500 0.000
Pd1 0.000 0.500 0.870
Pd2 0.500 0.000 0.130
Pd3 0.500 0.500 0.500

# 2
Ac3TlZn2Pd9 | PBE-GGA | optimized geometry

DOS(E_F) = 0.32 states/eV/atom
energy relative to the elements = -0.54 eV per atom

Cell: 5.875 5.875 11.924 Å, 90.00 90.00 120.00°
Atoms (fractional coordinates):
Ac1 0.000 0.000 0.000
Ac2 0.333 0.667 0.749
Ac3 0.667 0.333 0.251
Tl1 0.000 0.000 0.500
Zn1 0.333 0.667 0.160
Zn2 0.667 0.333 0.840
Pd1 0.000 0.500 0.000
Pd2 0.164 0.327 0.313
Pd3 0.164 0.836 0.313
Pd4 0.327 0.164 0.687
Pd5 0.500 0.000 0.000
Pd6 0.500 0.500 0.000
Pd7 0.673 0.836 0.313
Pd8 0.836 0.164 0.687
Pd9 0.836 0.673 0.687

# 3
Ac2TmPd9 | PBE-GGA | optimized geometry

DOS(E_F) = 0.59 states/eV/atom
energy relative to the elements = -0.78 eV per atom

Cell: 4.267 4.267 12.600 Å, 90.00 90.00 90.00°
Atoms (fractional coordinates):
Ac1 0.000 0.000 0.174
Ac2 0.000 0.000 0.826
Tm1 0.000 0.000 0.500
Pd1 0.000 0.500 0.000
Pd2 0.000 0.500 0.346
Pd3 0.000 0.500 0.654
Pd4 0.500 0.000 0.000
Pd5 0.500 0.000 0.346
Pd6 0.500 0.000 0.654
Pd7 0.500 0.500 0.172
Pd8 0.500 0.500 0.500
Pd9 0.500 0.500 0.828